First-principles (SCAN) data for a PBEsol-optimized structure of CsRbH2Pt, as listed in Alexandria via LeMat-Bulk.

CIF file:
```
data_CsRbH2Pt
_symmetry_space_group_name_H-M 'R 3 m'
_symmetry_Int_Tables_number 160
_symmetry_space_group_name_Hall 'R 3 -2"'
_cell_length_a 5.2753
_cell_length_b 5.2753
_cell_length_c 17.6430
_cell_angle_alpha 90.00
_cell_angle_beta 90.00
_cell_angle_gamma 120.00
loop_
_atom_site_label
_atom_site_type_symbol
_atom_site_fract_x
_atom_site_fract_y
_atom_site_fract_z
Cs1 Cs 0.0000 0.0000 0.0000
Rb1 Rb 0.0000 0.0000 0.4887
H1 H 0.0000 0.0000 0.6463
H2 H 0.0000 0.0000 0.8346
Pt1 Pt 0.0000 0.0000 0.7409
```

density of states at the Fermi level: 0.00 states/eV per atom
magnetic moment: 0.1 μB/f.u.
DFT total energy: -27.5199 eV/atom

=====

First-principles (SCAN) data for a PBEsol-optimized structure of CsTlH2Pt, as listed in Alexandria via LeMat-Bulk.

CIF file:
```
data_CsTlH2Pt
_symmetry_space_group_name_H-M 'P 4/m m m'
_symmetry_Int_Tables_number 123
_symmetry_space_group_name_Hall '-P 4 2'
_cell_length_a 4.103
_cell_length_b 4.103
_cell_length_c 6.292
_cell_angle_alpha 90.00
_cell_angle_beta 90.00
_cell_angle_gamma 90.00
loop_
_atom_site_label
_atom_site_type_symbol
_atom_site_fract_x
_atom_site_fract_y
_atom_site_fract_z
Cs1 Cs 0.000 0.000 0.000
Tl1 Tl 0.500 0.500 0.500
H1 H 0.000 0.500 0.000
Pt1 Pt 0.000 0.000 0.500
```

density of states at the Fermi level: 0.44 states/eV per atom
magnetic moment: 0.0 μB/f.u.
DFT total energy: -36.4274 eV/atom

=====

First-principles (SCAN) data for a PBEsol-optimized structure of CsRb2H, as listed in Alexandria via LeMat-Bulk.

CIF file:
```
data_CsRb2H
_symmetry_space_group_name_H-M 'F m -3 m'
_symmetry_Int_Tables_number 225
_symmetry_space_group_name_Hall '-F 4 2 3'
_cell_length_a 9.826
_cell_length_b 9.826
_cell_length_c 9.826
_cell_angle_alpha 90.00
_cell_angle_beta 90.00
_cell_angle_gamma 90.00
loop_
_atom_site_label
_atom_site_type_symbol
_atom_site_fract_x
_atom_site_fract_y
_atom_site_fract_z
Cs1 Cs 0.000 0.000 0.000
Rb1 Rb 0.250 0.250 0.250
H1 H 0.000 0.000 0.500
```

density of states at the Fermi level: 0.32 states/eV per atom
magnetic moment: 0.0 μB/f.u.
DFT total energy: -20.2671 eV/atom